[1]
A geometry-optimized Tb4PmNd2 structure. Source: Alexandria via LeMat-Bulk, functional PBE-GGA.

abc: 3.5669 8.8800 8.6667
angles: 119.02 101.89 89.99
Positions (direct):
Nd 0.9311 0.5725 0.8616
Nd 0.0689 0.4275 0.1384
Tb 0.7064 0.2925 0.4128
Tb 0.6451 0.8452 0.2916
Tb 0.3549 0.1548 0.7084
Tb 0.2936 0.7075 0.5872
Pm 0.0000 0.0000 0.0000

Summary:
As for the formation energy: 0.046 eV/atom. The calculation puts the energy above the most stable polymorph in this dataset at 0.24 eV/f.u. The calculation puts the density of states at the Fermi level at 9.95 states/eV/f.u. Its space group is C2/m.


[2]
A geometry-optimized In2CuSe structure. Source: Alexandria via LeMat-Bulk, functional PBE-GGA.

abc: 5.1315 4.7203 3.6935
angles: 90.00 90.00 90.00
Positions (direct):
Cu 0.0000 0.5000 0.5000
In 0.0000 0.0000 0.0000
In 0.5000 0.5000 0.0000
Se 0.5000 0.0000 0.5000

Summary:
The value obtained for the formation energy (no corrections) is 100 meV/atom. The calculation puts the density of states at the Fermi level at 1.64 states/eV/f.u. Its space group is Pmmm.


[3]
A geometry-optimized ZrSiHg structure. Source: Alexandria via LeMat-Bulk, functional PBE-GGA.

abc: 6.1581 5.9462 3.3286
angles: 77.58 70.56 31.86
Positions (direct):
Hg 0.9882 0.9882 0.0118
Si 0.3309 0.3309 0.6691
Zr 0.6810 0.6810 0.3190

Summary:
The calculation puts the energy above the most stable polymorph in this dataset at 0.09 eV/f.u. The value obtained for the formation energy (no corrections) is -85 meV/atom. The calculation puts the density of states at the Fermi level at 1.39 states/eV/f.u. Its space group is Fmm2.


[4]
A geometry-optimized CuP2Ru structure. Source: Alexandria via LeMat-Bulk, functional PBE-GGA.

abc: 6.2610 6.2610 6.2610
angles: 154.00 147.86 41.80
Positions (direct):
P 0.9570 0.9570 0.0000
P 0.7025 0.2025 0.5000
Ru 0.5350 0.5350 0.0000
Cu 0.3055 0.8055 0.5000

Summary:
As for the formation energy: -0.058 eV/atom. The calculation puts the energy above the most stable polymorph in this dataset at 0.37 eV/f.u. The calculation puts the density of states at the Fermi level at 1.79 states/eV/f.u. Its space group is Imm2.


[5]
A geometry-optimized PPd8Se2 structure. Source: Alexandria via LeMat-Bulk, functional PBE-GGA.

abc: 4.0267 5.4760 8.5852
angles: 104.42 103.56 90.00
Positions (direct):
Pd 0.6414 0.9861 0.2828
Pd 0.0252 0.7761 0.0503
Pd 0.7721 0.6989 0.5442
Pd 0.9748 0.2239 0.9497
Pd 0.5858 0.4302 0.1716
Pd 0.3586 0.0139 0.7172
Pd 0.4142 0.5698 0.8284
Pd 0.2279 0.3011 0.4558
Se 0.1734 0.6940 0.3467
Se 0.8266 0.3060 0.6533
P 0.5000 0.0000 0.0000

Summary:
The calculation puts the energy above the most stable polymorph in this dataset at 0.00 eV/f.u. The value obtained for the formation energy (no corrections) is -234 meV/atom. The calculation puts the density of states at the Fermi level at 6.34 states/eV/f.u. Its space group is C2/m.


[6]
A geometry-optimized YHf3Ir2 structure. Source: Alexandria via LeMat-Bulk, functional PBE-GGA.

abc: 4.5075 6.7933 8.2541
angles: 90.00 90.00 90.00
Positions (direct):
Ir 0.5000 0.7541 0.8480
Ir 0.5000 0.2541 0.1520
Ir 0.0000 0.2444 0.6687
Ir 0.0000 0.7444 0.3313
Hf 0.0000 0.8539 0.6804
Hf 0.0000 0.4903 0.9242
Hf 0.0000 0.9903 0.0758
Hf 0.0000 0.3539 0.3196
Hf 0.5000 0.6466 0.1657
Hf 0.5000 0.1466 0.8343
Y 0.5000 0.5108 0.5715
Y 0.5000 0.0108 0.4285

Summary:
As for the formation energy: -0.751 eV/atom. The calculation puts the density of states at the Fermi level at 5.21 states/eV/f.u. Its space group is Pmc2_1.


[7]
A geometry-optimized TaCoNiIr structure. Source: Alexandria via LeMat-Bulk, functional PBE-GGA.

abc: 4.2667 4.2667 4.2667
angles: 60.00 60.00 60.00
Site moments in Bohr magnetons follow the coordinates.
Positions (direct):
Ir 0.2500 0.2500 0.2500  0.10
Co 0.7500 0.7500 0.7500  0.69
Ta 0.5000 0.5000 0.5000  -0.10
Ni 0.0000 0.0000 0.0000  0.23

Summary:
As for the formation energy: -0.199 eV/atom. The calculation puts the energy above the most stable polymorph in this dataset at 0.91 eV/f.u. The calculation puts the density of states at the Fermi level at 5.80 states/eV/f.u. Its space group is F-43m.